1.
Compound: P2RhPbCl
Source: the Alexandria database
Functional: GGA-PBE
Structure: relaxed

abc: 5.2178 5.2178 5.2101
angles: 90.00 90.00 90.00
Closest atoms and distances in Å follow each position.
Fractional coordinates of all 5 atoms:
P: 0.0000 0.5000 0.0000  2 Pb 2.61
P: 0.5000 0.0000 0.0000  2 Pb 2.61
Rh: 0.0000 0.0000 0.5000  8 P 3.69, 4 Cl 3.69
Pb: 0.5000 0.5000 0.0000  2 Cl 2.61, 4 P 2.61
Cl: 0.5000 0.5000 0.5000  2 Pb 2.61

## Properties
Crystal system: tetragonal
Electronic total energy in eV/cell: -16.6
Magnetic moment in μB/f.u.: 0.54
DOS at the Fermi energy in states/eV/cell: 8.07

2.
Compound: TmB4Ir8
Source: the Alexandria database
Functional: GGA-PBE
Structure: relaxed

abc: 8.4977 8.4977 8.4977
angles: 37.52 37.52 37.52
Closest atoms and distances in Å follow each position.
Fractional coordinates of all 13 atoms:
Tm: 0.0000 0.0000 0.0000  6 Ir 2.90
B: 0.0000 0.0000 0.5000  6 Ir 2.20-2.22
B: 0.0000 0.5000 0.0000  6 Ir 2.20-2.22
B: 0.5000 0.0000 0.0000  6 Ir 2.20-2.22
B: 0.5000 0.5000 0.5000  6 Ir 2.18
Ir: 0.2326 0.2326 0.2326  3 B 2.22
Ir: 0.2339 0.7296 0.7296  3 B 2.18-2.20
Ir: 0.2704 0.2704 0.7661  3 B 2.18-2.20
Ir: 0.2704 0.7661 0.2704  3 B 2.18-2.20
Ir: 0.7296 0.2339 0.7296  3 B 2.18-2.20
Ir: 0.7296 0.7296 0.2339  3 B 2.18-2.20
Ir: 0.7661 0.2704 0.2704  3 B 2.18-2.20
Ir: 0.7674 0.7674 0.7674  3 B 2.22

## Properties
Crystal system: trigonal
Magnetic moment in μB/f.u.: 0.00
DOS at the Fermi energy in states/eV/cell: 2.38
Energy of formation from the pure elements in eV/atom: -0.05

3.
Compound: NpHgSb
Source: the Alexandria database
Functional: GGA-PBE
Structure: relaxed

abc: 5.2803 5.2803 3.1201
angles: 90.00 90.00 120.00
Closest atoms and distances in Å follow each position.
Fractional coordinates of all 3 atoms:
Np: 0.0000 0.0000 0.0000  2 Np 3.12, 6 Hg 3.42-3.43, 6 Sb 3.42-3.43
Hg: 0.6667 0.3333 0.5018  3 Sb 3.05, 2 Hg 3.12
Sb: 0.3333 0.6667 0.4990  3 Hg 3.05, 2 Sb 3.12

## Properties
Crystal system: trigonal
Electronic total energy in eV/cell: -17.3
Magnetic moment in μB/f.u.: 4.55
DOS at the Fermi energy in states/eV/cell: 6.88

4.
Compound: TcAsBr2Cl
Source: the Alexandria database
Functional: GGA-PBE
Structure: relaxed

abc: 5.0728 5.0728 5.3648
angles: 90.00 90.00 90.00
Closest atoms and distances in Å follow each position.
Fractional coordinates of all 5 atoms:
Tc: 0.0000 0.0000 0.0000  4 As 3.59, 8 Br 3.69
As: 0.5000 0.5000 0.0000  2 Cl 2.68
Br: 0.0000 0.5000 0.5000  2 Cl 2.54
Br: 0.5000 0.0000 0.5000  2 Cl 2.54
Cl: 0.5000 0.5000 0.5000  4 Br 2.54, 2 As 2.68

## Properties
Crystal system: tetragonal
Electronic total energy in eV/cell: -13.6
Magnetic moment in μB/f.u.: 4.70
DOS at the Fermi energy in states/eV/cell: 1.59

5.
Compound: BaPtOF2
Source: the Alexandria database
Functional: GGA-PBE
Structure: relaxed

abc: 4.6916 4.6916 3.9418
angles: 90.00 90.00 90.00
Closest atoms and distances in Å follow each position.
Fractional coordinates of all 5 atoms:
Ba: 0.0000 0.0000 0.0000  8 F 3.06, 4 O 3.32
Pt: 0.5000 0.5000 0.5000  2 O 1.97
O: 0.5000 0.5000 0.0000  2 Pt 1.97
F: 0.0000 0.5000 0.5000  2 Pt 2.35
F: 0.5000 0.0000 0.5000  2 Pt 2.35

## Properties
Crystal system: tetragonal
Electronic total energy in eV/cell: -25.4
Magnetic moment in μB/f.u.: 0.00
DOS at the Fermi energy in states/eV/cell: 3.75

6.
Compound: Ba4Tl2Pt
Source: the Alexandria database
Functional: GGA-PBE
Structure: relaxed

abc: 9.6239 9.6239 9.6239
angles: 142.53 142.53 54.03
Closest atoms and distances in Å follow each position.
Fractional coordinates of all 7 atoms:
Ba: 0.0000 0.5000 0.5000  2 Pt 3.09
Ba: 0.1847 0.1847 0.0000  1 Pt 3.17, 1 Tl 3.51
Ba: 0.5000 0.0000 0.5000  2 Pt 3.09
Ba: 0.8153 0.8153 0.0000  1 Pt 3.17, 1 Tl 3.51
Tl: 0.3896 0.3896 0.0000  5 Ba 3.51-3.62, 1 Tl 3.79
Tl: 0.6104 0.6104 0.0000  5 Ba 3.51-3.62, 1 Tl 3.79
Pt: 0.0000 0.0000 0.0000  6 Ba 3.09-3.17

## Properties
Crystal system: tetragonal
Magnetic moment in μB/f.u.: 0.00
DOS at the Fermi energy in states/eV/cell: 10.08
Energy of formation from the pure elements in eV/atom: -0.38

7.
Compound: PrDy2Ho2
Source: the Alexandria database
Functional: GGA-PBE
Structure: relaxed

abc: 3.5185 8.6844 8.6844
angles: 38.52 90.00 90.00
Closest atoms and distances in Å follow each position.
Fractional coordinates of all 5 atoms:
Pr: 0.0000 0.0000 0.0000  6 Dy 3.45-3.58, 2 Pr 3.52, 2 Ho 3.63
Dy: 0.0000 0.3823 0.3823  2 Pr 3.45, 4 Ho 3.47-3.56, 4 Dy 3.52-3.61
Dy: 0.5000 0.5743 0.5743  4 Ho 3.47-3.56, 4 Dy 3.52-3.61, 4 Pr 3.58
Ho: 0.0000 0.7632 0.7632  4 Dy 3.47-3.56, 6 Ho 3.52-3.55, 1 Pr 3.88
Ho: 0.5000 0.1939 0.1939  4 Dy 3.47-3.56, 6 Ho 3.52-3.55, 2 Pr 3.63

## Properties
Crystal system: orthorhombic
Magnetic moment in μB/f.u.: 0.00
DOS at the Fermi energy in states/eV/cell: 8.91
Energy of formation from the pure elements in eV/atom: 0.12

8.
Compound: SrSi2Os
Source: the Alexandria database
Functional: GGA-PBE
Structure: relaxed

abc: 8.4608 8.4608 8.4608
angles: 22.69 22.69 22.69
Closest atoms and distances in Å follow each position.
Fractional coordinates of all 4 atoms:
Sr: 0.0000 0.0000 0.0000  3 Os 3.09, 3 Si 3.31, 6 Sr 3.33
Si: 0.5079 0.5079 0.5079  3 Os 2.44, 3 Si 2.51
Si: 0.7759 0.7759 0.7759  3 Si 2.51
Os: 0.2356 0.2356 0.2356  3 Si 2.44

## Properties
Crystal system: trigonal
Electronic total energy in eV/cell: -21.8
Magnetic moment in μB/f.u.: 0.00
DOS at the Fermi energy in states/eV/cell: 1.03

9.
Compound: KLiBi2
Source: the Alexandria database
Functional: GGA-PBE
Structure: relaxed

abc: 5.5386 5.5386 5.5386
angles: 60.00 60.00 60.00
Closest atoms and distances in Å follow each position.
Fractional coordinates of all 4 atoms:
K: 0.0000 0.0000 0.0000  8 Bi 3.39
Li: 0.5000 0.5000 0.5000  8 Bi 3.39
Bi: 0.2500 0.2500 0.2500  4 Li 3.39, 4 K 3.39
Bi: 0.7500 0.7500 0.7500  4 K 3.39, 4 Li 3.39

## Properties
Crystal system: cubic
Magnetic moment in μB/f.u.: 0.00
DOS at the Fermi energy in states/eV/cell: 2.00
Energy of formation from the pure elements in eV/atom: -0.15

10.
Compound: DyPuBrO4
Source: the Alexandria database
Functional: GGA-PBE
Structure: relaxed

abc: 7.2639 7.2639 6.4747
angles: 105.94 105.94 56.90
Closest atoms and distances in Å follow each position.
Fractional coordinates of all 14 atoms:
Dy: 0.2392 0.2392 0.0954  6 O 2.22-2.40
Dy: 0.7608 0.7608 0.9046  6 O 2.22-2.40
Pu: 0.3834 0.3834 0.7687  4 O 1.87-2.05
Pu: 0.6166 0.6166 0.2313  4 O 1.87-2.05
Br: 0.0121 0.0121 0.2535  2 Br 3.20-3.30, 2 Dy 3.30-3.36
Br: 0.9879 0.9879 0.7465  2 Br 3.20-3.30, 2 Dy 3.30-3.36
O: 0.0769 0.4643 0.8130  1 Pu 2.05, 1 Dy 2.22
O: 0.3435 0.3435 0.4644  1 Pu 1.87
O: 0.4253 0.4253 0.0932  1 Pu 2.00
O: 0.4643 0.0769 0.8130  1 Pu 2.05, 1 Dy 2.22
O: 0.5357 0.9231 0.1870  1 Pu 2.05, 1 Dy 2.22
O: 0.5747 0.5747 0.9068  1 Pu 2.00
O: 0.6565 0.6565 0.5356  1 Pu 1.87
O: 0.9231 0.5357 0.1870  1 Pu 2.05, 1 Dy 2.22

## Properties
Crystal system: monoclinic
Electronic total energy in eV/cell: -115.5
Magnetic moment in μB/f.u.: 2.25
DOS at the Fermi energy in states/eV/cell: 11.68

11.
Compound: CsTlAs2
Source: the Alexandria database
Functional: GGA-PBE
Structure: relaxed

abc: 5.5520 5.5520 5.5520
angles: 60.00 60.00 60.00
Closest atoms and distances in Å follow each position.
Fractional coordinates of all 4 atoms:
Cs: 0.0000 0.0000 0.0000  8 As 3.40
Tl: 0.5000 0.5000 0.5000  8 As 3.40
As: 0.2500 0.2500 0.2500  4 Tl 3.40, 4 Cs 3.40
As: 0.7500 0.7500 0.7500  4 Tl 3.40, 4 Cs 3.40

## Properties
Crystal system: cubic
Magnetic moment in μB/f.u.: 0.00
DOS at the Fermi energy in states/eV/cell: 4.98
Energy of formation from the pure elements in eV/atom: 0.43

12.
Compound: Ca4NO2
Source: the Alexandria database
Functional: GGA-PBE
Structure: relaxed

abc: 6.9622 6.9622 6.9622
angles: 141.08 141.08 56.21
Closest atoms and distances in Å follow each position.
Fractional coordinates of all 7 atoms:
Ca: 0.0000 0.5000 0.5000  2 N 2.32
Ca: 0.1974 0.1974 0.0000  1 O 2.17, 1 N 2.42
Ca: 0.5000 0.0000 0.5000  2 N 2.32
Ca: 0.8026 0.8026 0.0000  1 O 2.17, 1 N 2.42
N: 0.0000 0.0000 0.0000  6 Ca 2.32-2.42
O: 0.3739 0.3739 0.0000  1 Ca 2.17
O: 0.6261 0.6261 0.0000  1 Ca 2.17

## Properties
Crystal system: tetragonal
Electronic total energy in eV/cell: -36.7
Magnetic moment in μB/f.u.: 0.00
DOS at the Fermi energy in states/eV/cell: 1.96